Record 1
The following is a PBE calculation of crystalline LaTlZn2 at its relaxed geometry, from the Alexandria database. Values from VASP.

```
&SYSTEM
  ibrav = 0, nat = 4, ntyp = 3
/
ATOMIC_SPECIES
La 138.91 La.upf
Zn 65.41 Zn.upf
Tl 204.38 Tl.upf
CELL_PARAMETERS angstrom
3.686 0.013 0.000
-0.014 3.686 0.000
0.000 0.000 7.164
ATOMIC_POSITIONS angstrom
La 1.836 1.849 1.791
Zn 0.000 0.000 3.738
Zn 0.000 0.000 7.007
Tl 1.836 1.849 5.373
```

- raw total energy (eV per atom) = -2.5832
- V (Å³ per cell) = 97.3

---

Record 2
The following is a PBE calculation of crystalline HfCdCu2Sn at its relaxed geometry, from the Alexandria database. Values from VASP.

```
&SYSTEM
  ibrav = 0, nat = 5, ntyp = 4
/
ATOMIC_SPECIES
Hf 178.49 Hf.upf
Cu 63.55 Cu.upf
Cd 112.41 Cd.upf
Sn 118.71 Sn.upf
CELL_PARAMETERS angstrom
-3.165 -0.660 -3.500
0.900 -5.383 0.202
-3.474 -0.460 3.228
ATOMIC_POSITIONS angstrom
Hf 0.450 -2.691 0.101
Cu -1.582 -0.330 -1.750
Cd -2.870 -3.251 -0.035
Cu -1.737 -0.230 1.614
Sn 0.000 0.000 0.000
```

- raw total energy (eV per atom) = -3.8664
- V (Å³ per cell) = 124.0